(1)
! Tl2CdHg | Alexandria | PBE | relaxed; values from VASP
&SYSTEM
  ibrav = 0, nat = 4, ntyp = 3
/
ATOMIC_SPECIES
Tl 204.38 Tl.upf
Hg 200.59 Hg.upf
Cd 112.41 Cd.upf
ATOMIC_POSITIONS crystal
Tl 0.500 0.288 0.288
Tl 0.000 0.966 0.961
Hg 0.500 0.549 0.767
Cd 0.000 0.697 0.484
CELL_PARAMETERS angstrom
5.133 0.000 0.000
0.000 3.537 0.149
0.000 1.306 6.259
! Energy relative to the elements ... 0.0164 eV/atom
! DFT total energy ... -1.471 eV per atom
! Size of the total moment ... 0.000 Bohr magnetons per cell
! Space group ... Pm


(2)
! Tl4Cd6Hg7 | Alexandria | PBE | relaxed; values from VASP
&SYSTEM
  ibrav = 0, nat = 17, ntyp = 3
/
ATOMIC_SPECIES
Hg 200.59 Hg.upf
Cd 112.41 Cd.upf
Tl 204.38 Tl.upf
ATOMIC_POSITIONS crystal
Hg 0.750 0.500 0.250
Hg 0.500 0.750 0.250
Hg 0.500 0.250 0.750
Hg 0.250 0.750 0.500
Hg 0.750 0.250 0.500
Hg 0.250 0.500 0.750
Hg 0.000 0.000 0.000
Cd 0.701 0.701 0.000
Cd 0.299 0.000 0.299
Cd 0.000 0.701 0.701
Cd 0.000 0.299 0.299
Cd 0.299 0.299 0.000
Cd 0.701 0.000 0.701
Tl 0.500 0.000 0.000
Tl 0.000 0.500 0.000
Tl 0.000 0.000 0.500
Tl 0.500 0.500 0.500
CELL_PARAMETERS angstrom
7.943 0.000 -2.808
-3.971 6.879 -2.808
0.000 0.000 8.424
! Energy relative to the elements ... 0.0283 eV/atom
! DFT total energy ... -0.976 eV per atom
! Size of the total moment ... 0.000 Bohr magnetons per cell
! Space group ... Im-3m


(3)
! TlCd2Hg3 | Alexandria | PBE | relaxed; values from VASP
&SYSTEM
  ibrav = 0, nat = 12, ntyp = 3
/
ATOMIC_SPECIES
Hg 200.59 Hg.upf
Cd 112.41 Cd.upf
Tl 204.38 Tl.upf
ATOMIC_POSITIONS crystal
Hg 0.500 0.663 0.810
Hg 0.500 0.156 0.810
Hg 0.000 0.907 0.643
Hg 0.500 0.656 0.190
Hg 0.500 0.163 0.190
Hg 0.000 0.407 0.357
Cd 0.500 0.658 0.499
Cd 0.000 0.409 0.658
Cd 0.500 0.158 0.501
Cd 0.000 0.909 0.342
Tl 0.000 0.909 0.003
Tl 0.000 0.409 0.997
CELL_PARAMETERS angstrom
-1.946 1.001 -3.630
-0.682 -6.449 -1.412
-9.838 -0.108 5.244
! Energy relative to the elements ... 0.0081 eV/atom
! DFT total energy ... -0.842 eV per atom
! Size of the total moment ... 0.000 Bohr magnetons per cell
! Space group ... Pmc2_1


> Which of these has the lowest DFT total energy?

Tl2CdHg